DFT (PBE) results for a geometry-optimized NdLuIr structure.

Summary:
For the density of states at the Fermi level, the calculation gives 2.12 states/eV/f.u. The energy above the most stable polymorph in this dataset comes out at 0.1088 eV/atom. The total energy is -6.5666 eV/atom. The density is 9.32 g/cm3.

Cell: 4.1489 4.1489 6.1152 Å, 90.00 90.00 120.00°
Space group P3m1 (No. 156)
One atom of each set of equivalent atoms:
Nd (0.0000, 0.0000, 0.0000) (multiplicity 1)
Lu (0.6667, 0.3333, 0.5392) (multiplicity 1)
Ir (0.3333, 0.6667, 0.7497) (multiplicity 1)